Entry 1:
{
  "formula": "Pu5Pd2Au2",
  "functional": "PBE",
  "state": "optimized geometry",
  "cell": [[7.691, 0.000, 0.000], [0.000, 6.893, -3.544], [0.000, 0.002, 8.480]],
  "species": ["Pu", "Pu", "Pu", "Pu", "Pu", "Pu", "Pu", "Pu", "Pu", "Pu", "Pd", "Pd", "Pd", "Pd", "Au", "Au", "Au", "Au"],
  "frac_coords": [[0.000, 0.000, 0.000], [0.500, 0.500, 0.000], [0.829, 0.809, 0.266], [0.171, 0.457, 0.266], [0.329, 0.957, 0.266], [0.671, 0.309, 0.266], [0.171, 0.191, 0.734], [0.829, 0.543, 0.734], [0.671, 0.043, 0.734], [0.329, 0.691, 0.734], [0.626, 0.875, 0.000], [0.374, 0.125, 0.000], [0.126, 0.625, 0.000], [0.874, 0.375, 0.000], [0.000, 0.210, 0.420], [0.500, 0.710, 0.420], [0.000, 0.790, 0.580], [0.500, 0.290, 0.580]],
  "space_group": "Cmce",
  "magmom_total_mub_per_atom": 3.273,
  "formation_enthalpy_0k_ev_per_atom": -0.3261
}


Entry 2:
{
  "formula": "Cs8AgAu5",
  "functional": "PBE",
  "state": "optimized geometry",
  "cell": [[2.220, -8.342, -4.145], [-1.866, -1.449, 9.280], [-7.721, 3.736, -4.258]],
  "species": ["Cs", "Cs", "Cs", "Cs", "Cs", "Cs", "Cs", "Cs", "Ag", "Au", "Au", "Au", "Au", "Au"],
  "frac_coords": [[0.124, 0.754, 0.020], [0.980, 0.103, 0.734], [0.761, 0.247, 0.370], [0.630, 0.391, 0.877], [0.486, 0.609, 0.239], [0.630, 0.897, 0.876], [0.266, 0.246, 0.370], [0.123, 0.753, 0.514], [0.250, 0.500, 0.750], [0.003, 0.376, 0.127], [0.873, 0.875, 0.249], [0.751, 0.624, 0.627], [0.500, 0.000, 0.500], [0.373, 0.125, 0.997]],
  "space_group": "I-4",
  "magmom_total_mub_per_atom": 0.000,
  "formation_enthalpy_0k_ev_per_atom": -0.2329
}


Entry 3:
{
  "formula": "Tb4HSe5",
  "functional": "PBE",
  "state": "optimized geometry",
  "cell": [[4.005, 0.000, 0.000], [0.000, 7.408, -1.218], [-2.003, -2.285, 9.364]],
  "species": ["Tb", "Tb", "Tb", "Tb", "H", "Se", "Se", "Se", "Se", "Se"],
  "frac_coords": [[0.281, 0.781, 0.562], [0.000, 0.754, 0.000], [0.719, 0.219, 0.438], [0.000, 0.246, 0.000], [0.500, 0.000, 0.000], [0.839, 0.600, 0.678], [0.839, 0.079, 0.678], [0.161, 0.921, 0.322], [0.500, 0.500, 0.000], [0.161, 0.400, 0.322]],
  "space_group": "C2/m",
  "e_tot_ev_per_atom": -5.43,
  "magmom_total_mub_per_atom": 0.016
}